# Sc2AsP | the Alexandria database | PBE | optimized geometry
data_Sc2AsP
_chemical_formula_sum 'Sc8 As4 P4'
_symmetry_space_group_name_H-M 'F m -3 m'
_symmetry_Int_Tables_number 225
_symmetry_space_group_name_Hall '-F 4 2 3'
_cell_length_a 6.669
_cell_length_b 6.669
_cell_length_c 6.669
_cell_angle_alpha 90.00
_cell_angle_beta 90.00
_cell_angle_gamma 90.00
loop_
_atom_site_label
_atom_site_type_symbol
_atom_site_fract_x
_atom_site_fract_y
_atom_site_fract_z
Sc1 Sc 0.250 0.250 0.250
As1 As 0.000 0.000 0.000
P1 P 0.000 0.000 0.500
# - Total magnetic moment: 0.000 μB/cell
# - Energy of formation: -0.8964 eV per atom
# - E_tot: -0.483 Ry/atom